PBE BaLi2La, optimized geometry; formation energy from the elements = 0.20 eV/atom; crystal system = trigonal; density = 3.5 g/cm3; E above lowest polymorph = 81 meV/atom; M_tot = 0.0 μB/f.u.
1.0
10.957 -0.039 -0.023
10.296 3.750 -0.023
10.296 1.798 3.291
Li La Ba
2 1 1
direct
0.266 0.266 0.266
0.989 0.989 0.989
0.736 0.736 0.736
0.509 0.509 0.509

PBE Ce2ErAl, optimized geometry; formation energy from the elements = 0.11 eV/atom; crystal system = trigonal; density = 7.8 g/cm3; E above lowest polymorph = 295 meV/atom; M_tot = 0.0 μB/f.u.
1.0
-2.324 1.974 0.880
-2.691 -1.160 1.218
2.902 0.888 11.397
Er Ce Al
1 2 1
direct
0.000 0.000 0.000
0.091 0.091 0.726
0.909 0.909 0.274
0.500 0.500 0.500